Model one:
VASP calculation (PBE) on a relaxed CoTeIrN2 crystal.

a = 3.618 Å, b = 3.618 Å, c = 6.091 Å
α = 90.00°, β = 90.00°, γ = 90.00°
Space group P4/mmm (No. 123)
Asymmetric unit:
Co 0.000 0.000 0.000 [1 per cell]
Te 0.000 0.000 0.500 [1 per cell]
Ir 0.500 0.500 0.500 [1 per cell]
N 0.000 0.500 0.000 [2 per cell]

**D(E_F)**: 4.52 states/eV per cell


Model two:
VASP calculation (PBE) on a relaxed CoTeIrN2 crystal.

a = 3.757 Å, b = 3.757 Å, c = 6.055 Å
α = 90.00°, β = 90.00°, γ = 90.00°
Space group P4/mmm (No. 123)
Asymmetric unit:
Co 0.000 0.000 0.000 [1 per cell]
Te 0.500 0.500 0.000 [1 per cell]
Ir 0.500 0.500 0.500 [1 per cell]
N 0.000 0.500 0.500 [2 per cell]

**D(E_F)**: 3.92 states/eV per cell


Last place for stability: model one


Model one:
VASP calculation (PBE) on a relaxed NaCo2Ir crystal.

a = 6.992 Å, b = 6.992 Å, c = 5.365 Å
α = 90.00°, β = 90.00°, γ = 90.00°
Space group I-42d (No. 122)
Asymmetric unit:
Na 0.000 0.000 0.000 [4 per cell]
Co 0.202 0.250 0.625 [8 per cell]
Ir 0.000 0.000 0.500 [4 per cell]

**D(E_F)**: 11.45 states/eV per cell


Model two:
VASP calculation (PBE) on a relaxed NaCo2Ir crystal.

a = 6.031 Å, b = 6.031 Å, c = 6.031 Å
α = 90.00°, β = 90.00°, γ = 90.00°
Space group Fm-3m (No. 225)
Asymmetric unit:
Na 0.000 0.000 0.000 [4 per cell]
Co 0.250 0.250 0.250 [8 per cell]
Ir 0.000 0.000 0.500 [4 per cell]

**D(E_F)**: 8.56 states/eV per cell


Last place for stability: model one


Model one:
VASP calculation (PBE) on a relaxed NbCo3Ir crystal.

a = 4.442 Å, b = 4.442 Å, c = 4.442 Å
α = 90.00°, β = 90.00°, γ = 90.00°
Space group Pm-3m (No. 221)
Asymmetric unit:
Nb 0.000 0.000 0.000 [1 per cell]
Co 0.000 0.500 0.500 [3 per cell]
Ir 0.500 0.500 0.500 [1 per cell]

**D(E_F)**: 6.59 states/eV per cell


Model two:
VASP calculation (PBE) on a relaxed NbCo3Ir crystal.

a = 4.339 Å, b = 4.339 Å, c = 4.339 Å
α = 90.00°, β = 90.00°, γ = 90.00°
Space group Pm-3m (No. 221)
Asymmetric unit:
Nb 0.000 0.000 0.000 [1 per cell]
Co 0.000 0.000 0.500 [3 per cell]
Ir 0.500 0.500 0.500 [1 per cell]

**D(E_F)**: 7.47 states/eV per cell


Last place for stability: model two


Model one:
VASP calculation (PBE) on a relaxed Nb3CoIr crystal.

a = 4.514 Å, b = 4.514 Å, c = 4.514 Å
α = 90.00°, β = 90.00°, γ = 90.00°
Space group Pm-3m (No. 221)
Asymmetric unit:
Nb 0.000 0.000 0.500 [3 per cell]
Co 0.000 0.000 0.000 [1 per cell]
Ir 0.500 0.500 0.500 [1 per cell]

**D(E_F)**: 5.65 states/eV per cell


Model two:
VASP calculation (PBE) on a relaxed Nb3CoIr crystal.

a = 4.815 Å, b = 4.815 Å, c = 4.815 Å
α = 90.00°, β = 90.00°, γ = 90.00°
Space group Pm-3m (No. 221)
Asymmetric unit:
Nb 0.000 0.000 0.500 [3 per cell]
Co 0.500 0.500 0.500 [1 per cell]
Ir 0.000 0.000 0.000 [1 per cell]

**D(E_F)**: 8.96 states/eV per cell


Last place for stability: model two


Model one:
VASP calculation (PBE) on a relaxed CoNiIr4 crystal.

a = 8.317 Å, b = 2.700 Å, c = 8.316 Å
α = 90.00°, β = 116.96°, γ = 90.00°
Space group C2/m (No. 12)
Asymmetric unit:
Co 0.000 0.000 0.000 [2 per cell]
Ni 0.000 0.500 0.500 [2 per cell]
Ir 0.154 0.000 0.345 [4 per cell]
Ir 0.154 0.500 0.848 [4 per cell]

**D(E_F)**: 12.98 states/eV per cell


Model two:
VASP calculation (PBE) on a relaxed CoNiIr4 crystal.

a = 7.227 Å, b = 7.227 Å, c = 7.227 Å
α = 90.00°, β = 90.00°, γ = 90.00°
Space group F-43m (No. 216)
Asymmetric unit:
Co 0.000 0.000 0.000 [4 per cell]
Ni 0.250 0.250 0.750 [4 per cell]
Ir 0.125 0.125 0.375 [16 per cell]

**D(E_F)**: 43.84 states/eV per cell


Last place for stability: model two


Model one:
VASP calculation (PBE) on a relaxed Co2Ni5Ir crystal.

a = 2.514 Å, b = 7.775 Å, c = 9.422 Å
α = 90.00°, β = 90.00°, γ = 90.00°
Space group Immm (No. 71)
Asymmetric unit:
Co 0.000 0.000 0.244 [4 per cell]
Ni 0.000 0.000 0.500 [2 per cell]
Ni 0.000 0.271 0.131 [8 per cell]
Ir 0.000 0.500 0.500 [2 per cell]

**D(E_F)**: 22.08 states/eV per cell


Model two:
VASP calculation (PBE) on a relaxed Co2Ni5Ir crystal.

a = 6.142 Å, b = 6.142 Å, c = 10.134 Å
α = 90.00°, β = 90.00°, γ = 90.00°
Space group I4/mcm (No. 140)
Asymmetric unit:
Co 0.138 0.362 0.000 [8 per cell]
Ni 0.000 0.000 0.000 [4 per cell]
Ni 0.151 0.349 0.338 [16 per cell]
Ir 0.000 0.000 0.250 [4 per cell]

**D(E_F)**: 61.23 states/eV per cell


Last place for stability: model two


Model one:
VASP calculation (PBE) on a relaxed CoNi2Ir crystal.

a = 8.511 Å, b = 2.591 Å, c = 4.425 Å
α = 90.00°, β = 100.32°, γ = 90.00°
Space group Cm (No. 8)
Asymmetric unit:
Co 0.000 0.000 0.000 [2 per cell]
Ni 0.000 0.500 0.509 [2 per cell]
Ni 0.252 0.000 0.750 [2 per cell]
Ir 0.250 0.500 0.249 [2 per cell]

**D(E_F)**: 12.58 states/eV per cell


Model two:
VASP calculation (PBE) on a relaxed CoNi2Ir crystal.

a = 2.583 Å, b = 3.646 Å, c = 5.113 Å
α = 90.00°, β = 90.00°, γ = 90.00°
Space group Pmmm (No. 47)
Asymmetric unit:
Co 0.000 0.000 0.000 [1 per cell]
Ni 0.500 0.500 0.242 [2 per cell]
Ir 0.000 0.000 0.500 [1 per cell]

**D(E_F)**: 6.62 states/eV per cell


Model three:
VASP calculation (PBE) on a relaxed CoNi2Ir crystal.

a = 3.601 Å, b = 3.601 Å, c = 7.391 Å
α = 90.00°, β = 90.00°, γ = 90.00°
Space group I4/mmm (No. 139)
Asymmetric unit:
Co 0.000 0.000 0.000 [2 per cell]
Ni 0.000 0.500 0.250 [4 per cell]
Ir 0.000 0.000 0.500 [2 per cell]

**D(E_F)**: 11.44 states/eV per cell


Last place for stability: model two


Model one:
VASP calculation (PBE) on a relaxed CoNi2Ir crystal.

a = 2.614 Å, b = 4.154 Å, c = 4.438 Å
α = 90.00°, β = 90.00°, γ = 90.00°
Space group Pmm2 (No. 25)
Asymmetric unit:
Co 0.000 0.000 0.000 [1 per cell]
Ni 0.500 0.000 0.489 [1 per cell]
Ni 0.500 0.500 0.164 [1 per cell]
Ir 0.000 0.500 0.663 [1 per cell]

**D(E_F)**: 5.26 states/eV per cell


Model two:
VASP calculation (PBE) on a relaxed CoNi2Ir crystal.

a = 8.512 Å, b = 2.594 Å, c = 4.421 Å
α = 90.00°, β = 100.59°, γ = 90.00°
Space group C2/m (No. 12)
Asymmetric unit:
Co 0.000 0.000 0.000 [2 per cell]
Ni 0.249 0.500 0.244 [4 per cell]
Ir 0.000 0.500 0.500 [2 per cell]

**D(E_F)**: 10.71 states/eV per cell


Last place for stability: model two


Model one:
VASP calculation (PBE) on a relaxed CoNi2Ir crystal.

a = 4.422 Å, b = 2.593 Å, c = 4.425 Å
α = 90.00°, β = 108.76°, γ = 90.00°
Space group P2/m (No. 10)
Asymmetric unit:
Co 0.000 0.000 0.000 [1 per cell]
Ni 0.000 0.500 0.500 [1 per cell]
Ni 0.500 0.000 0.500 [1 per cell]
Ir 0.500 0.500 0.000 [1 per cell]

**D(E_F)**: 5.03 states/eV per cell


Model two:
VASP calculation (PBE) on a relaxed CoNi2Ir crystal.

a = 5.118 Å, b = 7.278 Å, c = 2.591 Å
α = 90.00°, β = 90.00°, γ = 90.00°
Space group Cmmm (No. 65)
Asymmetric unit:
Co 0.000 0.000 0.000 [2 per cell]
Ni 0.250 0.250 0.500 [4 per cell]
Ir 0.000 0.500 0.000 [2 per cell]

**D(E_F)**: 11.83 states/eV per cell


Last place for stability: model two


Model one:
VASP calculation (PBE) on a relaxed CoNiIr3 crystal.

a = 4.400 Å, b = 4.400 Å, c = 4.400 Å
α = 90.00°, β = 90.00°, γ = 90.00°
Space group Pm-3m (No. 221)
Asymmetric unit:
Co 0.000 0.000 0.000 [1 per cell]
Ni 0.500 0.500 0.500 [1 per cell]
Ir 0.000 0.500 0.500 [3 per cell]

**D(E_F)**: 24.73 states/eV per cell


Model two:
VASP calculation (PBE) on a relaxed CoNiIr3 crystal.

a = 4.755 Å, b = 9.867 Å, c = 6.173 Å
α = 90.00°, β = 90.00°, γ = 90.00°
Space group Pnma (No. 62)
Asymmetric unit:
Co 0.010 0.250 0.100 [4 per cell]
Ni 0.000 0.000 0.000 [4 per cell]
Ir 0.007 0.614 0.575 [8 per cell]
Ir 0.246 0.750 0.243 [4 per cell]

**D(E_F)**: 33.74 states/eV per cell


Last place for stability: model one


Model one:
VASP calculation (PBE) on a relaxed CoNiIr3 crystal.

a = 4.423 Å, b = 4.423 Å, c = 4.423 Å
α = 90.00°, β = 90.00°, γ = 90.00°
Space group Pm-3m (No. 221)
Asymmetric unit:
Co 0.000 0.000 0.000 [1 per cell]
Ni 0.500 0.500 0.500 [1 per cell]
Ir 0.000 0.000 0.500 [3 per cell]

**D(E_F)**: 6.64 states/eV per cell


Model two:
VASP calculation (PBE) on a relaxed CoNiIr3 crystal.

a = 15.054 Å, b = 7.294 Å, c = 4.948 Å
α = 90.00°, β = 93.54°, γ = 90.00°
Space group C2/c (No. 15)
Asymmetric unit:
Co 0.222 0.055 0.195 [8 per cell]
Ni 0.000 0.262 0.250 [4 per cell]
Ni 0.000 0.390 0.750 [4 per cell]
Ir 0.076 0.060 0.903 [8 per cell]
Ir 0.142 0.386 0.059 [8 per cell]
Ir 0.157 0.257 0.553 [8 per cell]

**D(E_F)**: 57.95 states/eV per cell


Last place for stability: model one


Model one:
VASP calculation (PBE) on a relaxed Co5Ni8Ir crystal.

a = 5.966 Å, b = 6.053 Å, c = 6.103 Å
α = 116.99°, β = 94.90°, γ = 116.06°
Space group P1 (No. 1)
Asymmetric unit:
Co 0.000 0.000 0.000 [1 per cell]
Co 0.023 0.175 0.473 [1 per cell]
Co 0.563 0.857 0.242 [1 per cell]
Co 0.593 0.135 0.720 [1 per cell]
Co 0.865 0.496 0.648 [1 per cell]
Ni 0.083 0.385 0.919 [1 per cell]
Ni 0.315 0.849 0.897 [1 per cell]
Ni 0.389 0.169 0.354 [1 per cell]
Ni 0.449 0.360 0.070 [1 per cell]
Ni 0.521 0.562 0.794 [1 per cell]
Ni 0.759 0.778 0.544 [1 per cell]
Ni 0.775 0.252 0.173 [1 per cell]
Ni 0.931 0.693 0.162 [1 per cell]
Ir 0.262 0.595 0.419 [1 per cell]

**D(E_F)**: 16.71 states/eV per cell


Model two:
VASP calculation (PBE) on a relaxed Co5Ni8Ir crystal.

a = 6.959 Å, b = 6.959 Å, c = 6.913 Å
α = 90.00°, β = 90.00°, γ = 90.00°
Space group I-4 (No. 82)
Asymmetric unit:
Co 0.000 0.000 0.000 [2 per cell]
Co 0.110 0.191 0.418 [8 per cell]
Ni 0.065 0.340 0.089 [8 per cell]
Ni 0.122 0.175 0.758 [8 per cell]
Ir 0.000 0.500 0.750 [2 per cell]

**D(E_F)**: 33.89 states/eV per cell


Last place for stability: model two